(1)
VASP calculation (PBE) on IrOsI2N after structural relaxation.

Structure (POSCAR):
```
IrOsI2N
1.0
5.4708 0.0000 0.0000
0.0000 5.4708 0.0000
0.0000 0.0000 3.6234
Ir Os I N
1 1 2 1
Cartesian
0.0000 0.0000 0.0000 Ir
2.7354 2.7354 1.8117 Os
0.0000 2.7354 0.0000 I
2.7354 0.0000 0.0000 I
0.0000 0.0000 1.8117 N
```

## Properties
The calculation puts the energy at -4.86 eV per atom. For the energy relative to the lowest polymorph listed for this composition, the calculation gives 247 meV per atom. The total moment comes out at 1.0 μB per formula unit. The density of states at the Fermi level comes out at 1.08 states/eV per atom. Its uncorrected formation energy is 1.441 eV per atom.



(2)
VASP calculation (PBE) on IrOsI2N after structural relaxation.

Structure (POSCAR):
```
IrOsI2N
1.0
5.4092 0.0000 0.0000
0.0000 5.4092 0.0000
0.0000 0.0000 3.6603
Ir Os I N
1 1 2 1
Cartesian
0.0000 0.0000 0.0000 Ir
2.7046 2.7046 1.8301 Os
0.0000 2.7046 1.8301 I
2.7046 0.0000 1.8301 I
2.7046 2.7046 0.0000 N
```

## Properties
The calculation puts the energy at -5.11 eV per atom. For the energy relative to the lowest polymorph listed for this composition, the calculation gives 0 meV per atom. The total moment comes out at 0.0 μB per formula unit. The density of states at the Fermi level comes out at 1.05 states/eV per atom. Its uncorrected formation energy is 1.194 eV per atom.